{"formula": "La2SeN", "functional": "GGA-PBE", "state": "optimized geometry", "relative_energy_kj_per_mol_fu": 22, "e_form_raw_ev_per_atom": -1.603, "space_group": "R3m (160)", "cell": [[3.889, 0.000, 0.000], [1.945, 3.368, 0.000], [1.945, 1.123, 7.077]], "species": ["La", "La", "Se", "N"], "fractional_positions": [[0.066, 0.066, 0.802], [0.266, 0.266, 0.202], [0.499, 0.499, 0.502], [0.669, 0.669, 0.994]]}



{"formula": "Nd4Y3Ho2", "functional": "GGA-PBE", "state": "optimized geometry", "relative_energy_kj_per_mol_fu": 23, "space_group": "Cccm (66)", "cell": [[7.128, 0.006, 0.004], [-0.008, 9.798, 0.957], [-0.008, 4.063, 8.967]], "species": ["Nd", "Nd", "Nd", "Nd", "Nd", "Nd", "Nd", "Nd", "Y", "Y", "Y", "Y", "Y", "Y", "Ho", "Ho", "Ho", "Ho"], "fractional_positions": [[0.500, 0.821, 0.151], [0.000, 0.849, 0.179], [0.500, 0.179, 0.849], [0.000, 0.151, 0.821], [0.000, 0.177, 0.477], [0.500, 0.523, 0.823], [0.000, 0.823, 0.523], [0.500, 0.477, 0.177], [0.750, 0.171, 0.171], [0.750, 0.829, 0.829], [0.250, 0.829, 0.829], [0.250, 0.171, 0.171], [0.250, 0.500, 0.500], [0.750, 0.500, 0.500], [0.500, 0.153, 0.525], [0.000, 0.475, 0.847], [0.500, 0.847, 0.475], [0.000, 0.525, 0.153]]}